(1)
Computed, not measured: a PBEsol-optimized structure of SrLi3 at the meta-GGA SCAN level of DFT.

Unit cell a=7.1503 b=7.1503 c=5.3148 alpha=90.00 beta=90.00 gamma=120.00
With the nearest neighbours (Å) after each atom.
Space group P6_3/mmc (No. 194)
Asymmetric unit:
1 Sr 0.3333 0.6667 0.2500 [2 per cell]  12 Li 3.59-3.60
2 Li 0.1372 0.2744 0.7500 [6 per cell]  6 Li 2.94-3.15

Results
E_tot	-58.62	eV/cell
E_form	0.034	eV per atom

=====

(2)
Computed, not measured: a PBEsol-optimized structure of SrZnTe2I at the meta-GGA SCAN level of DFT.

Unit cell a=5.2377 b=5.2377 c=5.8404 alpha=90.00 beta=90.00 gamma=90.00
With the nearest neighbours (Å) after each atom.
Space group P4/mmm (No. 123)
Asymmetric unit:
1 Sr 0.0000 0.0000 0.0000 [1 per cell]  4 I 3.70, 8 Te 3.92
2 Zn 0.5000 0.5000 0.5000 [1 per cell]  4 Te 2.62, 2 I 2.92
3 Te 0.0000 0.5000 0.5000 [2 per cell]  2 Zn 2.62
4 I 0.5000 0.5000 0.0000 [1 per cell]  2 Zn 2.92

Results
E_tot	-150.43	eV/cell

=====

(3)
Computed, not measured: a PBEsol-optimized structure of MnSi2Mo at the meta-GGA SCAN level of DFT.

Unit cell a=5.8724 b=5.8724 c=5.8724 alpha=90.00 beta=90.00 gamma=90.00
With the nearest neighbours (Å) after each atom.
Space group Fm-3m (No. 225)
Asymmetric unit:
1 Mn 0.0000 0.0000 0.0000 [4 per cell]  8 Si 2.54
2 Si 0.2500 0.2500 0.2500 [8 per cell]  4 Mn 2.54, 4 Mo 2.54
3 Mo 0.0000 0.0000 0.5000 [4 per cell]  8 Si 2.54

Results
E_tot	-295.25	eV/cell

=====

(4)
Computed, not measured: a PBEsol-optimized structure of Y2PPb at the meta-GGA SCAN level of DFT.

Unit cell a=3.8750 b=3.8750 c=23.4631 alpha=90.00 beta=90.00 gamma=120.00
With the nearest neighbours (Å) after each atom.
Space group R-3m (No. 166, hexagonal axes)
Asymmetric unit:
1 Y 0.0000 0.0000 0.2331 [6 per cell]  3 P 2.73
2 P 0.0000 0.0000 0.5000 [3 per cell]  6 Y 2.73
3 Pb 0.0000 0.0000 0.0000 [3 per cell]  6 Y 3.25

Results
offset from the most stable computed form	0.000	eV per atom
E_tot	-441.14	eV/cell
E_form	-1.295	eV per atom

=====

(5)
Computed, not measured: a PBEsol-optimized structure of FeIr5 at the meta-GGA SCAN level of DFT.

Unit cell a=4.3294 b=2.7124 c=13.9808 alpha=90.00 beta=90.00 gamma=90.00
With the nearest neighbours (Å) after each atom.
Space group Amm2 (No. 38)
Asymmetric unit:
1 Fe 0.0000 0.0000 0.0000 [2 per cell]  10 Ir 2.63-2.67, 2 Fe 2.71
2 Ir 0.0000 0.0000 0.3352 [2 per cell]  10 Ir 2.65-2.78, 2 Fe 2.67
3 Ir 0.0000 0.0000 0.6620 [2 per cell]  2 Fe 2.64, 10 Ir 2.67-2.78
4 Ir 0.5000 0.0000 0.1072 [2 per cell]  2 Fe 2.63, 10 Ir 2.64-2.74
5 Ir 0.5000 0.0000 0.4451 [2 per cell]  8 Ir 2.64-2.71, 4 Fe 2.67
6 Ir 0.5000 0.0000 0.7776 [2 per cell]  12 Ir 2.68-2.74

Results
E_tot	-747.76	eV/cell
E_form	-0.042	eV per atom

=====

(6)
Computed, not measured: a PBEsol-optimized structure of GePtS2Cl at the meta-GGA SCAN level of DFT.

Unit cell a=4.6585 b=4.6585 c=4.4626 alpha=90.00 beta=90.00 gamma=90.00
With the nearest neighbours (Å) after each atom.
Space group P4/mmm (No. 123)
Asymmetric unit:
1 Ge 0.0000 0.0000 0.0000 [1 per cell]  2 Cl 2.23, 4 S 2.33
2 Pt 0.5000 0.5000 0.5000 [1 per cell]  8 S 3.23, 4 Cl 3.29
3 S 0.0000 0.5000 0.0000 [2 per cell]  2 Ge 2.33
4 Cl 0.0000 0.0000 0.5000 [1 per cell]  2 Ge 2.23

Results
offset from the most stable computed form	0.536	eV per atom
E_tot	-112.43	eV/cell

=====

(7)
Computed, not measured: a PBEsol-optimized structure of KSrCo2 at the meta-GGA SCAN level of DFT.

Unit cell a=4.3533 b=4.3533 c=9.0889 alpha=90.00 beta=90.00 gamma=90.00
With the nearest neighbours (Å) after each atom.
Space group I4/mmm (No. 139)
Asymmetric unit:
1 K 0.0000 0.0000 0.0000 [2 per cell]  4 Sr 3.08, 8 Co 3.15
2 Sr 0.0000 0.0000 0.5000 [2 per cell]  4 K 3.08, 8 Co 3.15
3 Co 0.0000 0.5000 0.2500 [4 per cell]  4 Co 3.08, 4 K 3.15, 4 Sr 3.15

Results
offset from the most stable computed form	0.003	eV per atom
E_tot	-122.12	eV/cell
E_form	1.038	eV per atom

=====

(8)
Computed, not measured: a PBEsol-optimized structure of MnHgTe2 at the meta-GGA SCAN level of DFT.

Unit cell a=6.1425 b=8.0270 c=3.9252 alpha=90.00 beta=90.00 gamma=90.00
With the nearest neighbours (Å) after each atom.
Space group Cmmm (No. 65)
Asymmetric unit:
1 Mn 0.0000 0.0000 0.0000 [2 per cell]  2 Hg 3.07, 8 Te 3.20
2 Hg 0.0000 0.5000 0.0000 [2 per cell]  2 Mn 3.07, 8 Te 3.20
3 Te 0.2500 0.2500 0.5000 [4 per cell]  2 Te 3.07, 4 Hg 3.20, 4 Mn 3.20

Results
E_tot	-321.00	eV/cell